Version a
Below is a relaxed HfMoF3 crystal, with properties calculated at the PBE with a Hubbard U level.

Cell lengths 4.350, 4.350, 4.350 Å; angles 90.00, 90.00, 90.00 degrees
Element x y z (fractional)
Mo  0.500  0.500  0.500
Hf  0.000  0.000  0.000
F  0.000  0.500  0.000
F  0.000  0.000  0.500
F  0.500  0.000  0.000

Values from the calculation:
Size of the total moment   6.54 Bohr magnetons per cell
V   82 Å³/cell

Version b
Below is a relaxed HfMoF3 crystal, with properties calculated at the PBE with a Hubbard U level.

Cell lengths 4.437, 4.437, 4.437 Å; angles 90.00, 90.00, 90.00 degrees
Element x y z (fractional)
Mo  0.000  0.000  0.000
Hf  0.500  0.500  0.500
F  0.000  0.500  0.000
F  0.000  0.000  0.500
F  0.500  0.000  0.000

Values from the calculation:
Size of the total moment   5.78 Bohr magnetons per cell
V   87 Å³/cell

Relative to the most stable structure, the computed energies are version a 0; version b 826, all in meV per atom.

Version a
Below is a relaxed Hf2MoF crystal, with properties calculated at the PBE with a Hubbard U level.

Cell lengths 4.646, 4.646, 4.646 Å; angles 60.00, 60.00, 60.00 degrees
Element x y z (fractional)
Mo  0.500  0.500  0.500
Hf  0.250  0.250  0.250
Hf  0.750  0.750  0.750
F  0.000  0.000  0.000

Values from the calculation:
Size of the total moment   0.00 Bohr magnetons per cell
V   71 Å³/cell

Version b
Below is a relaxed Hf2MoF crystal, with properties calculated at the PBE with a Hubbard U level.

Cell lengths 6.853, 6.853, 5.754 Å; angles 53.45, 53.45, 90.00 degrees
Element x y z (fractional)
Mo  0.000  0.000  0.000
Mo  0.750  0.250  0.500
Hf  0.551  0.125  0.250
Hf  0.199  0.625  0.250
Hf  0.375  0.449  0.750
Hf  0.875  0.801  0.750
F  0.500  0.500  0.000
F  0.250  0.750  0.500

Values from the calculation:
Size of the total moment   2.94 Bohr magnetons per cell
V   146 Å³/cell

Relative to the most stable structure, the computed energies are version a 331; version b 0, all in meV per atom.

Version a
Below is a relaxed Hf3MoF crystal, with properties calculated at the PBE with a Hubbard U level.

Cell lengths 4.535, 4.535, 4.535 Å; angles 90.00, 90.00, 90.00 degrees
Element x y z (fractional)
Mo  0.500  0.500  0.500
Hf  0.000  0.500  0.000
Hf  0.000  0.000  0.500
Hf  0.500  0.000  0.000
F  0.000  0.000  0.000

Values from the calculation:
Size of the total moment   2.03 Bohr magnetons per cell
V   93 Å³/cell

Version b
Below is a relaxed Hf3MoF crystal, with properties calculated at the PBE with a Hubbard U level.

Cell lengths 5.068, 5.068, 5.068 Å; angles 90.00, 90.00, 90.00 degrees
Element x y z (fractional)
Mo  0.000  0.000  0.000
Hf  0.000  0.500  0.000
Hf  0.000  0.000  0.500
Hf  0.500  0.000  0.000
F  0.500  0.500  0.500

Values from the calculation:
Size of the total moment   0.00 Bohr magnetons per cell
V   130 Å³/cell

Relative to the most stable structure, the computed energies are version a 0; version b 1098, all in meV per atom.

Version a
Below is a relaxed HfMoNF2 crystal, with properties calculated at the PBE with a Hubbard U level.

Cell lengths 4.082, 4.082, 4.453 Å; angles 90.00, 90.00, 90.00 degrees
Element x y z (fractional)
Mo  0.000  0.000  0.000
N  0.000  0.000  0.500
Hf  0.500  0.500  0.500
F  0.000  0.500  0.000
F  0.500  0.000  0.000

Values from the calculation:
Size of the total moment   4.39 Bohr magnetons per cell
V   74 Å³/cell

Version b
Below is a relaxed HfMoNF2 crystal, with properties calculated at the PBE with a Hubbard U level.

Cell lengths 4.209, 4.209, 4.225 Å; angles 90.00, 90.00, 90.00 degrees
Element x y z (fractional)
Mo  0.500  0.500  0.500
N  0.000  0.000  0.500
Hf  0.000  0.000  0.000
F  0.000  0.500  0.000
F  0.500  0.000  0.000

Values from the calculation:
Size of the total moment   4.99 Bohr magnetons per cell
V   75 Å³/cell

Relative to the most stable structure, the computed energies are version a 930; version b 0, all in meV per atom.